DFT (PBEsol) results for a relaxed structure of BaHPb3.

Output
Crystal system: cubic
M_tot (μB per cell): 0.0
Final energy (Ry/atom): -0.2679

Cell lengths 5.0575, 5.0575, 5.0575 Å; angles 90.00, 90.00, 90.00 degrees
Last column: nearest neighbours and their distance in Å.
Space group Pm-3m (No. 221)
One atom of each set of equivalent atoms:
Ba1 0.0000 0.0000 0.0000  12 Pb 3.58
H1 0.5000 0.5000 0.5000  6 Pb 2.53
Pb1 0.0000 0.5000 0.5000  2 H 2.53



DFT (PBEsol) results for a relaxed structure of YC.

Output
Formation enthalpy at 0 K (kJ/mol of formula units): 68
Crystal system: hexagonal
M_tot (μB per cell): 0.0

Cell lengths 5.4911, 5.4911, 3.7402 Å; angles 90.00, 90.00, 120.00 degrees
Last column: nearest neighbours and their distance in Å.
Space group P6/mmm (No. 191)
One atom of each set of equivalent atoms:
Y1 0.0000 0.0000 0.0000  6 C 2.75
Y2 0.3333 0.6667 0.5000  6 C 2.45
C1 0.0000 0.5000 0.0000  6 Y 2.45-2.75, 4 C 2.75



DFT (PBEsol) results for a relaxed structure of AgBi2Rh.

Output
Formation enthalpy at 0 K (kJ/mol of formula units): 105
Crystal system: tetragonal
M_tot (μB per cell): 0.0

Cell lengths 7.7217, 7.7217, 6.2284 Å; angles 90.00, 90.00, 90.00 degrees
Last column: nearest neighbours and their distance in Å.
Space group I-42d (No. 122)
One atom of each set of equivalent atoms:
Ag1 0.0000 0.0000 0.0000  4 Bi 3.01, 2 Rh 3.11
Bi1 0.2186 0.2500 0.6250  2 Rh 2.68
Rh1 0.0000 0.0000 0.5000  4 Bi 2.68



DFT (PBEsol) results for a relaxed structure of TiNi.

Output
Formation enthalpy at 0 K (kJ/mol of formula units): -78
Crystal system: orthorhombic
M_tot (μB per cell): 0.0

Cell lengths 2.8777, 9.2849, 3.9694 Å; angles 90.00, 90.00, 90.00 degrees
Last column: nearest neighbours and their distance in Å.
Space group Cmcm (No. 63)
One atom of each set of equivalent atoms:
Ti1 0.0000 0.1432 0.2500  7 Ni 2.51-2.56
Ni1 0.0000 0.4149 0.2500  7 Ti 2.51-2.56, 2 Ni 2.54



DFT (PBEsol) results for a relaxed structure of CdCN2.

Output
Formation energy from raw total energies (eV per formula unit): 0.19
Crystal system: trigonal
M_tot (μB per cell): 0.0

Cell lengths 3.5334, 3.5334, 14.5352 Å; angles 90.00, 90.00, 120.00 degrees
Last column: nearest neighbours and their distance in Å.
Space group R-3m (No. 166, hexagonal axes)
One atom of each set of equivalent atoms:
Cd1 0.0000 0.0000 0.0000  6 N 2.36
C1 0.0000 0.0000 0.5000  2 N 1.24
N1 0.0000 0.0000 0.4150  1 C 1.24



DFT (PBEsol) results for a relaxed structure of LiLaY.

Output
Formation enthalpy at 0 K (kJ/mol of formula units): 44
Crystal system: orthorhombic
M_tot (μB per cell): 0.0

Cell lengths 3.7416, 5.6128, 16.8868 Å; angles 90.00, 90.00, 90.00 degrees
Last column: nearest neighbours and their distance in Å.
Space group Fmm2 (No. 42)
One atom of each set of equivalent atoms:
Li1 0.0000 0.0000 0.0000  2 Y 3.26, 4 Li 3.37, 2 La 3.40
La1 0.0000 0.0000 0.3321  6 La 3.37-3.74, 2 Li 3.40, 2 Y 3.48
Y1 0.0000 0.0000 0.6582  2 Li 3.26, 4 Y 3.37, 2 La 3.48